Density functional theory data (PBE) for a relaxed structure of BePb3W.

a b c (Å): 5.4232 5.4232 5.4232
angles (deg): 90.00 90.00 90.00
Closest atoms and distances in Å follow each position.
Fractional coordinates of all 5 atoms:
Be (0.0000, 0.0000, 0.0000)  12 Pb 3.83
Pb (0.0000, 0.5000, 0.5000)  2 W 2.71
Pb (0.5000, 0.0000, 0.5000)  2 W 2.71
Pb (0.5000, 0.5000, 0.0000)  2 W 2.71
W (0.5000, 0.5000, 0.5000)  6 Pb 2.71

Output
Total DFT energy (no corrections) ... -22.288 eV per formula unit
ΔH_f (0 K) ... 1.103 eV/atom
Symmetry ... Pm-3m, No. 221
Relative energy among the computed polymorphs ... 0.000 eV per atom
Theoretical density ... 8.5 g cm⁻³
Crystal system ... cubic

Density functional theory data (PBE) for a relaxed structure of Pr2SmYHo5.

a b c (Å): 9.9604 9.9604 9.9604
angles (deg): 128.26 128.26 76.20
Closest atoms and distances in Å follow each position.
Fractional coordinates of all 18 atoms:
Pr (0.1179, 0.6179, 0.7358)  1 Pr 2.90, 2 Ho 3.02
Pr (0.3821, 0.1179, 0.5000)  1 Pr 2.90, 2 Ho 3.02
Pr (0.6179, 0.8821, 0.5000)  1 Pr 2.90, 2 Ho 3.02
Pr (0.8821, 0.3821, 0.2642)  1 Pr 2.90, 2 Ho 3.02
Sm (0.2500, 0.2500, 0.0000)  10 Ho 3.56-3.92
Sm (0.7500, 0.7500, 0.0000)  10 Ho 3.56-3.92
Y (0.2500, 0.7500, 0.5000)  4 Ho 3.13
Y (0.7500, 0.2500, 0.5000)  4 Ho 3.13
Ho (0.0000, 0.0000, 0.0000)  4 Pr 3.48, 8 Ho 3.80
Ho (0.0729, 0.1478, 0.5000)  1 Pr 3.02, 1 Y 3.13
Ho (0.1478, 0.6478, 0.0749)  1 Pr 3.02, 1 Y 3.13
Ho (0.3522, 0.4271, 0.5000)  1 Pr 3.02, 1 Y 3.13
Ho (0.4271, 0.9271, 0.0749)  1 Pr 3.02, 1 Y 3.13
Ho (0.5000, 0.5000, 0.0000)  4 Pr 3.48, 8 Ho 3.80
Ho (0.5729, 0.0729, 0.9251)  1 Pr 3.02, 1 Y 3.13
Ho (0.6478, 0.5729, 0.5000)  1 Pr 3.02, 1 Y 3.13
Ho (0.8522, 0.3522, 0.9251)  1 Pr 3.02, 1 Y 3.13
Ho (0.9271, 0.8522, 0.5000)  1 Pr 3.02, 1 Y 3.13

Output
Total DFT energy (no corrections) ... -41.255 eV per formula unit
ΔH_f (0 K) ... 0.264 eV/atom
Symmetry ... I4/mcm, No. 140
Theoretical density ... 7.5 g cm⁻³
Crystal system ... tetragonal

Density functional theory data (PBE) for a relaxed structure of Ho6ErPd3.

a b c (Å): 8.6674 8.6674 7.1901
angles (deg): 90.00 90.00 98.52
Closest atoms and distances in Å follow each position.
Fractional coordinates of all 20 atoms:
Ho (0.0341, 0.4204, 0.6627)  2 Pd 2.93-3.01
Ho (0.0352, 0.9648, 0.5000)  4 Pd 3.14-3.16
Ho (0.2299, 0.7701, 0.8597)  3 Pd 2.74-2.76
Ho (0.2926, 0.3711, 0.0089)  4 Pd 2.74-2.89
Ho (0.3711, 0.2926, 0.5089)  4 Pd 2.74-2.89
Ho (0.4204, 0.0341, 0.1627)  2 Pd 2.93-3.01
Ho (0.5796, 0.9659, 0.6627)  2 Pd 2.93-3.01
Ho (0.6289, 0.7074, 0.0089)  4 Pd 2.74-2.89
Ho (0.7074, 0.6289, 0.5089)  4 Pd 2.74-2.89
Ho (0.7701, 0.2299, 0.3597)  3 Pd 2.74-2.76
Ho (0.9648, 0.0352, 0.0000)  4 Pd 3.14-3.16
Ho (0.9659, 0.5796, 0.1627)  2 Pd 2.93-3.01
Er (0.3188, 0.6812, 0.3802)  1 Pd 2.76
Er (0.6812, 0.3188, 0.8802)  1 Pd 2.76
Pd (0.0878, 0.2913, 0.2958)  5 Ho 2.74-3.01
Pd (0.2913, 0.0878, 0.7958)  5 Ho 2.74-3.01
Pd (0.4224, 0.5776, 0.7142)  5 Ho 2.74-2.89, 1 Er 2.76
Pd (0.5776, 0.4224, 0.2142)  5 Ho 2.74-2.89, 1 Er 2.76
Pd (0.7087, 0.9122, 0.2958)  5 Ho 2.74-3.01
Pd (0.9122, 0.7087, 0.7958)  5 Ho 2.74-3.01

Output
Total DFT energy (no corrections) ... -52.715 eV per formula unit
ΔH_f (0 K) ... -0.511 eV/atom
Symmetry ... Cmc2_1, No. 36
Theoretical density ... 9.2 g cm⁻³
Crystal system ... orthorhombic

Density functional theory data (PBE) for a relaxed structure of Nb6FeMo5.

a b c (Å): 7.8789 7.8789 7.8789
angles (deg): 146.50 131.98 59.82
Closest atoms and distances in Å follow each position.
Fractional coordinates of all 12 atoms:
Nb (0.0835, 0.3348, 0.7487)  1 Fe 2.76, 7 Mo 2.77-2.83
Nb (0.2472, 0.0000, 0.2472)  6 Mo 2.75-2.80, 2 Fe 2.77
Nb (0.4138, 0.6652, 0.7487)  1 Fe 2.76, 7 Mo 2.77-2.83
Nb (0.5862, 0.3348, 0.2513)  1 Fe 2.76, 7 Mo 2.77-2.83
Nb (0.7528, 0.0000, 0.7528)  6 Mo 2.75-2.80, 2 Fe 2.77
Nb (0.9165, 0.6652, 0.2513)  1 Fe 2.76, 7 Mo 2.77-2.83
Fe (0.0000, 0.5000, 0.5000)  8 Nb 2.76-2.77
Mo (0.1646, 0.1646, 0.0000)  8 Nb 2.75-2.83
Mo (0.3332, 0.8332, 0.5000)  8 Nb 2.78-2.80
Mo (0.5000, 0.5000, 0.0000)  8 Nb 2.77-2.79
Mo (0.6668, 0.1668, 0.5000)  8 Nb 2.78-2.80
Mo (0.8354, 0.8354, 0.0000)  8 Nb 2.75-2.83

Output
Total DFT energy (no corrections) ... -124.384 eV per formula unit
ΔH_f (0 K) ... -0.112 eV/atom
Symmetry ... Immm, No. 71
Theoretical density ... 9.1 g cm⁻³
Crystal system ... orthorhombic

Density functional theory data (PBE) for a relaxed structure of Li2Tm3Al9.

a b c (Å): 8.2080 8.2080 8.2080
angles (deg): 149.42 106.39 81.77
Closest atoms and distances in Å follow each position.
Fractional coordinates of all 14 atoms:
Li (0.1863, 0.0000, 0.1863)  8 Al 2.59-2.84
Li (0.8137, 0.0000, 0.8137)  8 Al 2.59-2.84
Tm (0.1992, 0.1992, 0.0000)  2 Li 3.08, 12 Al 3.14-3.43
Tm (0.5000, 0.5000, 0.0000)  12 Al 3.15-3.25
Tm (0.8008, 0.8008, 0.0000)  2 Li 3.08, 12 Al 3.14-3.43
Al (0.0000, 0.5000, 0.5000)  4 Al 2.74, 4 Li 2.84
Al (0.0815, 0.3629, 0.7186)  4 Al 2.62-2.76, 2 Li 2.77
Al (0.2161, 0.8487, 0.3674)  1 Li 2.59, 4 Al 2.61-2.76
Al (0.3557, 0.6371, 0.7186)  4 Al 2.62-2.76, 2 Li 2.77
Al (0.4813, 0.8487, 0.6326)  1 Li 2.59, 4 Al 2.61-2.76
Al (0.5187, 0.1513, 0.3674)  1 Li 2.59, 4 Al 2.61-2.76
Al (0.6443, 0.3629, 0.2814)  4 Al 2.62-2.76, 2 Li 2.77
Al (0.7839, 0.1513, 0.6326)  1 Li 2.59, 4 Al 2.61-2.76
Al (0.9185, 0.6371, 0.2814)  4 Al 2.62-2.76, 2 Li 2.77

Output
Total DFT energy (no corrections) ... -55.588 eV per formula unit
ΔH_f (0 K) ... -0.333 eV/atom
Symmetry ... Immm, No. 71
Theoretical density ... 4.8 g cm⁻³
Crystal system ... orthorhombic

Density functional theory data (PBE) for a relaxed structure of DyMgCdHg.

a b c (Å): 5.0801 5.0801 5.0801
angles (deg): 60.00 60.00 60.00
Closest atoms and distances in Å follow each position.
Fractional coordinates of all 4 atoms:
Dy (0.0000, 0.0000, 0.0000)  4 Hg 3.11, 4 Cd 3.11
Mg (0.5000, 0.5000, 0.5000)  4 Cd 3.11, 4 Hg 3.11
Cd (0.2500, 0.2500, 0.2500)  4 Mg 3.11, 4 Dy 3.11
Hg (0.7500, 0.7500, 0.7500)  4 Mg 3.11, 4 Dy 3.11

Output
Total DFT energy (no corrections) ... -8.927 eV per formula unit
ΔH_f (0 K) ... -0.378 eV/atom
Symmetry ... F-43m, No. 216
Theoretical density ... 9.0 g cm⁻³
Crystal system ... cubic

Density functional theory data (PBE) for a relaxed structure of SmAl2ZnPt4.

a b c (Å): 9.1335 9.1335 9.1335
angles (deg): 27.09 27.09 27.09
Closest atoms and distances in Å follow each position.
Fractional coordinates of all 8 atoms:
Sm (0.0000, 0.0000, 0.0000)  6 Pt 3.08
Al (0.2391, 0.2391, 0.2391)  7 Pt 2.56-2.79
Al (0.7609, 0.7609, 0.7609)  7 Pt 2.56-2.79
Zn (0.5000, 0.5000, 0.5000)  8 Pt 2.56-2.62
Pt (0.1334, 0.1334, 0.1334)  3 Zn 2.62, 4 Al 2.68-2.79
Pt (0.4028, 0.4028, 0.4028)  3 Al 2.56, 1 Zn 2.56
Pt (0.5972, 0.5972, 0.5972)  3 Al 2.56, 1 Zn 2.56
Pt (0.8666, 0.8666, 0.8666)  3 Zn 2.62, 4 Al 2.68-2.79

Output
Total DFT energy (no corrections) ... -45.297 eV per formula unit
ΔH_f (0 K) ... -0.957 eV/atom
Symmetry ... R-3m, No. 166
Theoretical density ... 12.5 g cm⁻³
Crystal system ... trigonal

Density functional theory data (PBE) for a relaxed structure of CoCu2Ru.

a b c (Å): 4.6622 4.6622 2.5014
angles (deg): 90.00 90.00 113.38
Closest atoms and distances in Å follow each position.
Fractional coordinates of all 4 atoms:
Co (0.0000, 0.0000, 0.0000)  2 Co 2.50, 2 Ru 2.56, 8 Cu 2.65
Cu (0.0000, 0.5000, 0.5000)  4 Cu 2.50-2.56, 4 Co 2.65, 4 Ru 2.65
Cu (0.5000, 0.0000, 0.5000)  4 Cu 2.50-2.56, 4 Co 2.65, 4 Ru 2.65
Ru (0.5000, 0.5000, 0.0000)  2 Ru 2.50, 2 Co 2.56, 8 Cu 2.65

Output
Total DFT energy (no corrections) ... -23.487 eV per formula unit
ΔH_f (0 K) ... 0.272 eV/atom
Symmetry ... Cmmm, No. 65
Relative energy among the computed polymorphs ... 0.116 eV per atom
Theoretical density ... 9.6 g cm⁻³
Crystal system ... orthorhombic

Density functional theory data (PBE) for a relaxed structure of AcDy5Mg4.

a b c (Å): 3.8006 3.8006 20.3041
angles (deg): 90.00 90.00 90.00
Closest atoms and distances in Å follow each position.
Fractional coordinates of all 10 atoms:
Ac (0.0000, 0.0000, 0.0000)  8 Dy 3.76, 4 Ac 3.80
Dy (0.5000, 0.5000, 0.1297)  4 Mg 3.29
Dy (0.5000, 0.5000, 0.3150)  8 Mg 3.27-3.28
Dy (0.5000, 0.5000, 0.5000)  8 Mg 3.28
Dy (0.5000, 0.5000, 0.6850)  8 Mg 3.27-3.28
Dy (0.5000, 0.5000, 0.8703)  4 Mg 3.29
Mg (0.0000, 0.0000, 0.2228)  8 Dy 3.27-3.29
Mg (0.0000, 0.0000, 0.4073)  8 Dy 3.28
Mg (0.0000, 0.0000, 0.5927)  8 Dy 3.28
Mg (0.0000, 0.0000, 0.7772)  8 Dy 3.27-3.29

Output
Total DFT energy (no corrections) ... -33.986 eV per formula unit
ΔH_f (0 K) ... -0.049 eV/atom
Symmetry ... P4/mmm, No. 123
Theoretical density ... 6.4 g cm⁻³
Crystal system ... tetragonal

Density functional theory data (PBE) for a relaxed structure of BaZr2Si2.

a b c (Å): 6.4750 6.4750 6.4750
angles (deg): 133.74 133.74 67.50
Closest atoms and distances in Å follow each position.
Fractional coordinates of all 5 atoms:
Ba (0.0000, 0.0000, 0.0000)  2 Zr 3.44, 8 Si 3.70
Zr (0.3193, 0.3193, 0.0000)  4 Si 2.65
Zr (0.6807, 0.6807, 0.0000)  4 Si 2.65
Si (0.2500, 0.7500, 0.5000)  4 Zr 2.65
Si (0.7500, 0.2500, 0.5000)  4 Zr 2.65

Output
Total DFT energy (no corrections) ... -30.854 eV per formula unit
Symmetry ... I4/mmm, No. 139
Relative energy among the computed polymorphs ... 0.077 eV per atom
Energy relative to the elements, uncorrected ... -0.20 eV/atom
Theoretical density ... 4.5 g cm⁻³
Crystal system ... tetragonal

Density functional theory data (PBE) for a relaxed structure of LaPrPt2.

a b c (Å): 5.1635 5.1635 5.1635
angles (deg): 60.00 60.00 60.00
Closest atoms and distances in Å follow each position.
Fractional coordinates of all 4 atoms:
La (0.0000, 0.0000, 0.0000)  8 Pt 3.16
Pr (0.5000, 0.5000, 0.5000)  8 Pt 3.16
Pt (0.2500, 0.2500, 0.2500)  4 La 3.16, 4 Pr 3.16
Pt (0.7500, 0.7500, 0.7500)  4 La 3.16, 4 Pr 3.16

Output
Total DFT energy (no corrections) ... -25.933 eV per formula unit
ΔH_f (0 K) ... -1.036 eV/atom
Symmetry ... Fm-3m, No. 225
Relative energy among the computed polymorphs ... 0.126 eV per atom
Theoretical density ... 11.4 g cm⁻³
Crystal system ... cubic

Density functional theory data (PBE) for a relaxed structure of La4Tm5Sc.

a b c (Å): 8.6476 8.6476 11.2728
angles (deg): 91.98 91.98 23.29
Closest atoms and distances in Å follow each position.
Fractional coordinates of all 10 atoms:
La (0.0282, 0.0282, 0.2433)  2 Sc 3.27, 4 Tm 3.30-3.43, 2 La 3.49
La (0.3293, 0.3293, 0.2541)  4 La 3.49-3.80, 6 Tm 3.52-3.77
La (0.6707, 0.6707, 0.7459)  4 La 3.49-3.80, 6 Tm 3.52-3.77
La (0.9718, 0.9718, 0.7567)  2 Sc 3.27, 4 Tm 3.30-3.43, 2 La 3.49
Tm (0.1678, 0.1678, 0.0387)  2 Sc 3.35, 4 La 3.36-3.74, 4 Tm 3.42-3.49
Tm (0.1716, 0.1716, 0.4492)  2 La 3.30-3.52, 6 Tm 3.35-3.49
Tm (0.5000, 0.5000, 0.5000)  4 La 3.43, 6 Tm 3.46-3.49
Tm (0.8284, 0.8284, 0.5508)  2 La 3.30-3.52, 6 Tm 3.35-3.49
Tm (0.8322, 0.8322, 0.9613)  2 Sc 3.35, 4 La 3.36-3.74, 4 Tm 3.42-3.49
Sc (0.5000, 0.5000, 0.0000)  4 La 3.27, 4 Tm 3.35, 2 Sc 3.49

Output
Total DFT energy (no corrections) ... -46.431 eV per formula unit
ΔH_f (0 K) ... 0.197 eV/atom
Symmetry ... C2/m, No. 12
Theoretical density ... 7.2 g cm⁻³
Crystal system ... monoclinic

Number 1: N(E_F) 3.45 states/eV per cell. Number 2: N(E_F) 22.18 states/eV per cell. Number 3: N(E_F) 22.06 states/eV per cell. Number 4: N(E_F) 7.39 states/eV per cell. Number 5: N(E_F) 5.23 states/eV per cell. Number 6: N(E_F) 1.96 states/eV per cell. Number 7: N(E_F) 3.70 states/eV per cell. Number 8: N(E_F) 4.37 states/eV per cell. Number 9: N(E_F) 14.36 states/eV per cell. Number 10: N(E_F) 3.23 states/eV per cell. Number 11: N(E_F) 4.61 states/eV per cell. Number 12: N(E_F) 15.30 states/eV per cell.